K2Li2Pd (PBE-GGA, relaxed); total DFT energy (no corrections) = -21.88 eV for the cell shown; formation enthalpy at 0 K = 5.3 kJ/mol of atoms; magnetic moment = 0.00 μB per formula unit
1.0
-6.671 -1.998 1.474
1.432 -6.549 -2.393
1.645 -1.578 5.304
K Pd Li
4 2 4
Cartesian
-0.950 -2.666 2.643
-2.644 -7.459 1.742
-4.122 -4.413 3.107
0.528 -5.712 1.278
-2.619 -4.273 -0.459
0.000 0.000 0.000
-1.040 -6.139 -1.504
-0.619 -2.524 -0.559
-4.619 -6.022 -0.360
-4.199 -2.408 0.586